# 1
Density functional theory data (PBE) for a geometry-optimized CuTcPb4 structure.

a b c (Å): 6.284 6.284 6.284
angles (deg): 60.00 60.00 60.00
Positions (direct):
Cu  0.000  0.000  0.000
Tc  0.250  0.250  0.250
Pb  0.126  0.625  0.625
Pb  0.625  0.126  0.625
Pb  0.625  0.625  0.126
Pb  0.625  0.625  0.625

Computed properties:
DOS(E_F) = 4.6 states/eV/cell
Size of the total moment = 3.31 μB per formula unit
ΔE_f = 1066.0 meV per atom


# 2
Density functional theory data (PBE) for a geometry-optimized GaPSe3 structure.

a b c (Å): 4.911 4.911 4.911
angles (deg): 90.00 90.00 90.00
Positions (direct):
Ga  0.000  0.000  0.000
P  0.500  0.500  0.500
Se  0.000  0.000  0.500
Se  0.000  0.500  0.000
Se  0.500  0.000  0.000

Computed properties:
DOS(E_F) = 5.5 states/eV/cell
E_form (uncorrected) = 742 meV/atom
Size of the total moment = 0.00 μB per formula unit
Relative energy among the computed polymorphs = 0.949 eV/atom


Q: Which value of size of the total moment does entry 2 give?
A: 0.00 μB per formula unit